1.
First-principles (PBE) data for crystalline Tl6Hg at its relaxed geometry, as listed in Alexandria.

Total energy, eV per atom: -2.00
Density of states at the Fermi level, states/eV per cell: 3.4
ΔE_f, eV per atom: 0.068
V, Å³ per cell: 226.4

Cell lengths 4.739, 4.739, 10.081 Å; angles 90.00, 90.00, 90.00 degrees
Fractional positions:
Tl (0.000, 0.000, 0.500)
Tl (0.500, 0.500, 0.000)
Tl (0.000, 0.500, 0.259)
Tl (0.500, 0.000, 0.741)
Tl (0.000, 0.500, 0.741)
Tl (0.500, 0.000, 0.259)
Hg (0.000, 0.000, 0.000)

***

2.
First-principles (PBE) data for crystalline Tl3Hg at its relaxed geometry, as listed in Alexandria.

Total energy, eV per atom: -1.84
Density of states at the Fermi level, states/eV per cell: 1.8
ΔE_f, eV per atom: 0.011
V, Å³ per cell: 120.6

Cell lengths 5.843, 3.386, 6.134 Å; angles 83.69, 90.00, 90.00 degrees
Fractional positions:
Tl (0.500, 0.806, 0.754)
Tl (0.000, 0.500, 0.500)
Tl (0.500, 0.194, 0.246)
Hg (0.000, 0.000, 0.000)

***

3.
First-principles (PBE) data for crystalline Tl8Hg7 at its relaxed geometry, as listed in Alexandria.

Total energy, eV per atom: -1.40
Density of states at the Fermi level, states/eV per cell: 12.2
ΔE_f, eV per atom: 0.002
V, Å³ per cell: 881.5

Cell lengths 6.354, 11.778, 11.778 Å; angles 90.00, 90.00, 90.00 degrees
Fractional positions:
Hg (0.000, 0.594, 0.406)
Hg (0.500, 0.564, 0.239)
Hg (0.000, 0.739, 0.936)
Hg (0.500, 0.094, 0.094)
Hg (0.500, 0.761, 0.436)
Hg (0.000, 0.000, 0.000)
Hg (0.000, 0.064, 0.261)
Hg (0.000, 0.936, 0.739)
Hg (0.000, 0.261, 0.064)
Hg (0.000, 0.406, 0.594)
Hg (0.500, 0.906, 0.906)
Hg (0.500, 0.239, 0.564)
Hg (0.500, 0.500, 0.500)
Hg (0.500, 0.436, 0.761)
Tl (0.750, 0.185, 0.815)
Tl (0.500, 0.641, 0.963)
Tl (0.000, 0.141, 0.537)
Tl (0.000, 0.537, 0.141)
Tl (0.750, 0.315, 0.315)
Tl (0.250, 0.315, 0.315)
Tl (0.250, 0.185, 0.815)
Tl (0.250, 0.685, 0.685)
Tl (0.750, 0.815, 0.185)
Tl (0.000, 0.859, 0.463)
Tl (0.250, 0.815, 0.185)
Tl (0.500, 0.963, 0.641)
Tl (0.750, 0.685, 0.685)
Tl (0.500, 0.037, 0.359)
Tl (0.000, 0.463, 0.859)
Tl (0.500, 0.359, 0.037)

***

4.
First-principles (PBE) data for crystalline TlHg at its relaxed geometry, as listed in Alexandria.

Total energy, eV per atom: -1.35
Density of states at the Fermi level, states/eV per cell: 1.5
ΔE_f, eV per atom: -0.011
V, Å³ per cell: 116.3

Cell lengths 6.610, 6.942, 3.469 Å; angles 75.53, 74.79, 49.59 degrees
Fractional positions:
Tl (0.576, 0.444, 0.490)
Tl (0.341, 0.139, 0.260)
Hg (0.864, 0.654, 0.741)
Hg (0.052, 0.929, 0.009)

***

5.
First-principles (PBE) data for crystalline Tl3Hg at its relaxed geometry, as listed in Alexandria.

Total energy, eV per atom: -1.84
Density of states at the Fermi level, states/eV per cell: 1.6
ΔE_f, eV per atom: 0.008
V, Å³ per cell: 120.5

Cell lengths 5.874, 5.874, 3.492 Å; angles 90.00, 90.00, 90.00 degrees
Fractional positions:
Tl (0.000, 0.500, 0.500)
Tl (0.500, 0.000, 0.500)
Tl (0.500, 0.500, 0.000)
Hg (0.000, 0.000, 0.000)

***

6.
First-principles (PBE) data for crystalline TlHg2 at its relaxed geometry, as listed in Alexandria.

Total energy, eV per atom: -1.00
Density of states at the Fermi level, states/eV per cell: 1.3
ΔE_f, eV per atom: -0.012
V, Å³ per cell: 170.2

Cell lengths 9.101, 9.101, 5.613 Å; angles 90.00, 90.00, 158.52 degrees
Fractional positions:
Hg (0.779, 0.221, 0.500)
Hg (0.999, 0.001, 0.000)
Hg (0.436, 0.564, 0.500)
Hg (0.342, 0.658, 0.000)
Tl (0.099, 0.901, 0.500)
Tl (0.679, 0.321, 0.000)